16
Lattice="-7.031 1.068 -3.512 6.573 -4.419 -0.421 -2.846 -3.334 6.605" Properties=species:S:1:pos:R:3 comment="PBE Zr3Zn5, relaxed" n_ef_per_ev_atom=0.57 mass_density_g_cm3=6.9 polymorph_energy_mev_per_atom=165.4 magnetic_moment_mub_per_fu=0.0 total_energy_ev_per_cell=-65.567 delta_e_f_ev_per_fu=-0.77 pbc="T T T"
Zn 1.754 -4.715 2.110
Zn -5.049 -1.972 0.566
Zn -7.189 -2.291 2.803
Zn 3.887 -4.396 -0.125
Zn -2.357 -2.807 -0.749
Zn -0.939 -3.882 3.424
Zn -4.717 -3.284 3.362
Zn 1.418 -3.397 -0.689
Zn 0.178 -2.060 1.740
Zn -3.474 -4.627 0.932
Zr -3.188 -5.847 3.656
Zr -0.114 -0.837 -0.982
Zr -2.566 -2.090 2.085
Zr -0.729 -4.598 0.589
Zr 0.798 -5.620 4.708
Zr -4.093 -1.066 -2.032